Record 1
Entry from Alexandria: crystalline PrFe2Ge2C at its relaxed geometry (PBE).

Output
Calculated formation energy   -148 kJ/mol of formula units
Volume   14.7 A^3/atom
Symmetry   No. 123
Electronic total energy   -41.70 eV per cell

```
PrFe2Ge2C
1.0
3.9921 0.0000 0.0000
0.0000 3.9921 0.0000
0.0000 0.0000 5.5180
Pr Fe Ge C
1 2 2 1
direct
0.0000 0.0000 0.0000
0.0000 0.5000 0.5000
0.5000 0.0000 0.5000
0.5000 0.5000 0.2347
0.5000 0.5000 0.7653
0.0000 0.0000 0.5000
```

Record 2
Entry from Alexandria: crystalline HfNbFeW at its relaxed geometry (PBE).

Output
Calculated formation energy   -4 kJ/mol of formula units
Volume   16.4 A^3/atom
Symmetry   No. 216
Electronic total energy   -41.48 eV per cell

```
HfNbFeW
1.0
0.0000 3.2040 3.2040
3.2040 0.0000 3.2040
3.2040 3.2040 0.0000
Hf Nb Fe W
1 1 1 1
direct
0.0000 0.0000 0.0000
0.5000 0.5000 0.5000
0.2500 0.2500 0.2500
0.7500 0.7500 0.7500
```

Record 3
Entry from Alexandria: crystalline BaIn2Rh2 at its relaxed geometry (PBE).

Output
Calculated formation energy   -199 kJ/mol of formula units
Volume   25.4 A^3/atom
Symmetry   No. 70
Electronic total energy   -48.34 eV per cell

```
BaIn2Rh2
1.0
0.0000 5.7971 7.2607
3.0189 0.0000 7.2607
3.0189 5.7971 0.0000
Ba In Rh
2 4 4
direct
0.1250 0.1250 0.1250
0.8750 0.8750 0.8750
0.1903 0.5597 0.1903
0.4403 0.8097 0.4403
0.5597 0.1903 0.5597
0.8097 0.4403 0.8097
0.2644 0.2644 0.4856
0.4856 0.4856 0.2644
0.5144 0.5144 0.7356
0.7356 0.7356 0.5144
```

Record 4
Entry from Alexandria: crystalline PrIrPt at its relaxed geometry (PBE).

Output
Calculated formation energy   -32 kJ/mol of formula units
Volume   25.3 A^3/atom
Symmetry   No. 160
ΔE to the lowest computed polymorph   719 meV per atom
Electronic total energy   -20.01 eV per cell

```
PrIrPt
1.0
2.0810 1.2015 5.0661
-2.0810 1.2015 5.0661
0.0000 -2.4030 5.0661
Pr Ir Pt
1 1 1
direct
0.0000 0.0000 0.0000
0.1924 0.1924 0.1924
0.8077 0.8077 0.8077
```

Record 5
Entry from Alexandria: crystalline Pr2GePb at its relaxed geometry (PBE).

Output
Calculated formation energy   -222 kJ/mol of formula units
Volume   31.9 A^3/atom
Symmetry   No. 166
Electronic total energy   -20.18 eV per cell

```
Pr2GePb
1.0
2.1536 1.2434 7.9452
-2.1536 1.2434 7.9452
0.0000 -2.4867 7.9452
Pr Ge Pb
2 1 1
direct
0.2380 0.2380 0.2380
0.7620 0.7620 0.7620
0.5000 0.5000 0.5000
0.0000 0.0000 0.0000
```

Record 6
Entry from Alexandria: crystalline AgAs2Rh at its relaxed geometry (PBE).

Output
Calculated formation energy   25 kJ/mol of formula units
Volume   17.4 A^3/atom
Symmetry   No. 99
ΔE to the lowest computed polymorph   121 meV per atom
Electronic total energy   -19.25 eV per cell

```
AgAs2Rh
1.0
3.4591 0.0000 0.0000
0.0000 3.4591 0.0000
0.0000 0.0000 5.8061
Ag As Rh
1 2 1
direct
0.0000 0.0000 0.0000
0.0000 0.0000 0.5389
0.5000 0.5000 0.2274
0.5000 0.5000 0.6794
```

Record 7
Entry from Alexandria: crystalline Pm4HRu2 at its relaxed geometry (PBE).

Output
Volume   23.0 A^3/atom
Symmetry   No. 12
ΔE to the lowest computed polymorph   0 meV per atom
Electronic total energy   -42.82 eV per cell

```
Pm4HRu2
1.0
6.2524 -1.8705 0.0000
6.2524 1.8705 0.0000
-4.6805 0.0000 6.8839
Pm H Ru
4 1 2
direct
0.0826 0.0826 0.3851
0.3325 0.3325 0.9240
0.6675 0.6675 0.0760
0.9174 0.9174 0.6149
0.0000 0.0000 0.0000
0.3766 0.3766 0.3011
0.6234 0.6234 0.6989
```

Record 8
Entry from Alexandria: crystalline Ir3Pb at its relaxed geometry (PBE).

Output
Calculated formation energy   179 kJ/mol of formula units
Volume   16.6 A^3/atom
Symmetry   No. 221
Electronic total energy   -28.43 eV per cell

```
Ir3Pb
1.0
4.0478 0.0000 0.0000
0.0000 4.0478 0.0000
0.0000 0.0000 4.0478
Ir Pb
3 1
direct
0.0000 0.0000 0.5000
0.0000 0.5000 0.0000
0.5000 0.0000 0.0000
0.5000 0.5000 0.5000
```

Record 9
Entry from Alexandria: crystalline Ac4Ge2F at its relaxed geometry (PBE).

Output
Volume   31.7 A^3/atom
Symmetry   No. 139
ΔE to the lowest computed polymorph   137 meV per atom
Electronic total energy   -34.50 eV per cell

```
Ac4Ge2F
1.0
-2.5390 2.5390 8.6174
2.5390 -2.5390 8.6174
2.5390 2.5390 -8.6174
Ac Ge F
4 2 1
direct
0.0000 0.5000 0.5000
0.1867 0.1867 0.0000
0.5000 0.0000 0.5000
0.8133 0.8133 0.0000
0.3712 0.3712 0.0000
0.6288 0.6288 0.0000
0.0000 0.0000 0.0000
```

Record 10
Entry from Alexandria: crystalline Zr2TiTl at its relaxed geometry (PBE).

Output
Calculated formation energy   16 kJ/mol of formula units
Volume   22.3 A^3/atom
Symmetry   No. 160
ΔE to the lowest computed polymorph   88 meV per atom
Electronic total energy   -27.19 eV per cell

```
Zr2TiTl
1.0
1.6137 0.9316 9.8833
-1.6137 0.9316 9.8833
0.0000 -1.8633 9.8833
Zr Ti Tl
2 1 1
direct
0.0000 0.0000 0.0000
0.1570 0.1570 0.1570
0.4115 0.4115 0.4115
0.5782 0.5782 0.5782
```

Record 11
Entry from Alexandria: crystalline TeRhCO2 at its relaxed geometry (PBE).

Output
Volume   12.1 A^3/atom
Symmetry   No. 123
Electronic total energy   -24.78 eV per cell

```
TeRhCO2
1.0
3.8342 0.0000 0.0000
0.0000 3.8342 0.0000
0.0000 0.0000 4.1230
Te Rh C O
1 1 1 2
direct
0.0000 0.0000 0.0000
0.5000 0.5000 0.0000
0.5000 0.5000 0.5000
0.0000 0.5000 0.5000
0.5000 0.0000 0.5000
```

Record 12
Entry from Alexandria: crystalline PuReAs2 at its relaxed geometry (PBE).

Output
Calculated formation energy   35 kJ/mol of formula units
Volume   20.3 A^3/atom
Symmetry   No. 166
Electronic total energy   -35.72 eV per cell

```
PuReAs2
1.0
1.5628 0.9023 9.5744
-1.5628 0.9023 9.5744
0.0000 -1.8046 9.5744
Pu Re As
1 1 2
direct
0.0000 0.0000 0.0000
0.5000 0.5000 0.5000
0.1036 0.1036 0.1036
0.8964 0.8964 0.8964
```

Record 13
Entry from Alexandria: crystalline Sm2AlZn3Ga4 at its relaxed geometry (PBE).

Output
Calculated formation energy   -447 kJ/mol of formula units
Volume   19.0 A^3/atom
Symmetry   No. 115
Electronic total energy   -33.74 eV per cell

```
Sm2AlZn3Ga4
1.0
4.1864 0.0000 0.0000
0.0000 4.1864 0.0000
0.0000 0.0000 10.8690
Sm Al Zn Ga
2 1 3 4
direct
0.0000 0.5000 0.2478
0.5000 0.0000 0.7522
0.0000 0.0000 0.5000
0.0000 0.5000 0.8643
0.5000 0.0000 0.1357
0.5000 0.5000 0.5000
0.0000 0.0000 0.0000
0.0000 0.5000 0.6414
0.5000 0.0000 0.3586
0.5000 0.5000 0.0000
```

Record 14
Entry from Alexandria: crystalline NbCr3Cd at its relaxed geometry (PBE).

Output
Calculated formation energy   918 kJ/mol of formula units
Volume   23.2 A^3/atom
Symmetry   No. 221
ΔE to the lowest computed polymorph   217 meV per atom
Electronic total energy   -30.34 eV per cell

```
NbCr3Cd
1.0
4.8756 0.0000 0.0000
0.0000 4.8756 0.0000
0.0000 0.0000 4.8756
Nb Cr Cd
1 3 1
direct
0.0000 0.0000 0.0000
0.0000 0.5000 0.5000
0.5000 0.0000 0.5000
0.5000 0.5000 0.0000
0.5000 0.5000 0.5000
```

Record 15
Entry from Alexandria: crystalline Hf2Al2Zn3 at its relaxed geometry (PBE).

Output
Calculated formation energy   -151 kJ/mol of formula units
Volume   17.2 A^3/atom
Symmetry   No. 12
ΔE to the lowest computed polymorph   0 meV per atom
Electronic total energy   -32.78 eV per cell

```
Hf2Al2Zn3
1.0
5.0324 -2.0465 0.0000
5.0324 2.0465 0.0000
-1.4660 0.0000 5.8583
Hf Al Zn
2 2 3
direct
0.1127 0.1127 0.3406
0.8873 0.8873 0.6594
0.3958 0.3958 0.3338
0.6042 0.6042 0.6662
0.2237 0.2237 0.8622
0.5000 0.5000 0.0000
0.7763 0.7763 0.1378
```

Record 16
Entry from Alexandria: crystalline Br3Cl at its relaxed geometry (PBE).

Output
Volume   46.0 A^3/atom
Symmetry   No. 65
Electronic total energy   -6.08 eV per cell

```
Br3Cl
1.0
2.5347 -6.3298 0.0000
2.5347 6.3298 0.0000
0.0000 0.0000 5.7301
Br Cl
3 1
direct
0.0000 0.0000 0.0000
0.0000 0.5000 0.5000
0.5000 0.0000 0.5000
0.5000 0.5000 0.0000
```

Record 17
Entry from Alexandria: crystalline SrMnC2 at its relaxed geometry (PBE).

Output
Calculated formation energy   725 kJ/mol of formula units
Volume   12.4 A^3/atom
Symmetry   No. 225
Electronic total energy   -21.78 eV per cell

```
SrMnC2
1.0
0.0000 2.9186 2.9186
2.9186 0.0000 2.9186
2.9186 2.9186 0.0000
Sr Mn C
1 1 2
direct
0.0000 0.0000 0.0000
0.5000 0.5000 0.5000
0.2500 0.2500 0.2500
0.7500 0.7500 0.7500
```

Record 18
Entry from Alexandria: crystalline SrNdSn2 at its relaxed geometry (PBE).

Output
Calculated formation energy   -171 kJ/mol of formula units
Volume   33.5 A^3/atom
Symmetry   No. 166
Electronic total energy   -16.23 eV per cell

```
SrNdSn2
1.0
1.9866 1.1469 9.7926
-1.9866 1.1469 9.7926
0.0000 -2.2939 9.7926
Sr Nd Sn
1 1 2
direct
0.0000 0.0000 0.0000
0.5000 0.5000 0.5000
0.2475 0.2475 0.2475
0.7525 0.7525 0.7525
```